# 1
Entry from the Alexandria database: an optimized crystal structure of Pr4Sm3Hg (PBE).

Lattice parameters (Å, degrees): 3.717 3.717 19.487 90.00 90.00 90.00
Fractional coordinates of all 8 atoms:
Sm: 0.500 0.500 0.500
Sm: 0.500 0.500 0.238
Sm: 0.500 0.500 0.762
Pr: 0.000 0.000 0.369
Pr: 0.000 0.000 0.894
Pr: 0.000 0.000 0.106
Pr: 0.000 0.000 0.631
Hg: 0.500 0.500 0.000

Results
Formation energy (eV per atom): -0.103
Total magnetization (μB/atom): 0.000
E (eV per atom): -4.300

# 2
Entry from the Alexandria database: an optimized crystal structure of FeAgB3 (PBE).

Lattice parameters (Å, degrees): 3.817 3.817 3.817 90.00 90.00 90.00
Fractional coordinates of all 5 atoms:
B: 0.000 0.500 0.000
B: 0.000 0.000 0.500
B: 0.500 0.000 0.000
Ag: 0.500 0.500 0.500
Fe: 0.000 0.000 0.000

Results
Formation energy (eV per atom): 0.834
Total magnetization (μB/atom): 0.000
E above lowest polymorph (eV/atom): 0.000
E (eV per atom): -5.435

# 3
Entry from the Alexandria database: an optimized crystal structure of BaFePPb (PBE).

Lattice parameters (Å, degrees): 4.116 4.116 11.983 90.00 90.00 90.00
Fractional coordinates of all 8 atoms:
Fe: 0.750 0.250 0.000
Fe: 0.250 0.750 0.000
P: 0.750 0.750 0.915
P: 0.250 0.250 0.085
Ba: 0.250 0.250 0.773
Ba: 0.750 0.750 0.227
Pb: 0.750 0.250 0.500
Pb: 0.250 0.750 0.500

Results
Formation energy (eV per atom): -0.466
Total magnetization (μB/atom): 0.000
E (eV per atom): -5.341

# 4
Entry from the Alexandria database: an optimized crystal structure of Cs2ScTaBi (PBE).

Lattice parameters (Å, degrees): 7.418 5.549 7.418 90.00 90.00 90.00
Last column: magnetic moment on the atom in μB.
Fractional coordinates of all 5 atoms:
Bi: 0.000 0.000 0.000  -0.03
Ta: 0.500 0.500 0.500  2.36
Cs: 0.500 0.000 0.000  0.02
Cs: 0.000 0.000 0.500  0.02
Sc: 0.000 0.500 0.000  0.51

Results
Formation energy (eV per atom): 1.372
Total magnetization (μB/atom): 0.994
E (eV per atom): -3.383

# 5
Entry from the Alexandria database: an optimized crystal structure of CrCoN2 (PBE).

Lattice parameters (Å, degrees): 2.598 2.712 5.027 90.00 104.95 90.00
Last column: magnetic moment on the atom in μB.
Fractional coordinates of all 4 atoms:
Co: 0.973 0.000 0.619  0.59
N: 0.177 0.000 0.026  -0.08
N: 0.416 0.500 0.509  0.00
Cr: 0.755 0.500 0.182  1.03

Results
Total magnetization (μB/atom): 0.392
E_form (uncorrected) (eV/atom): -0.0418
E above lowest polymorph (eV/atom): 0.186
E (eV per atom): -8.387

# 6
Entry from the Alexandria database: an optimized crystal structure of CaPm7Sm12 (PBE).

Lattice parameters (Å, degrees): 10.008 10.008 10.008 109.47 109.47 109.47
Fractional coordinates of all 20 atoms:
Pm: 0.000 0.500 0.000
Pm: 0.500 0.500 0.500
Pm: 0.000 0.500 0.500
Pm: 0.000 0.000 0.500
Pm: 0.500 0.000 0.000
Pm: 0.500 0.000 0.500
Pm: 0.500 0.500 0.000
Sm: 0.746 0.492 0.746
Sm: 0.254 0.254 0.508
Sm: 0.508 0.254 0.254
Sm: 0.000 0.254 0.746
Sm: 0.746 0.254 0.000
Sm: 0.254 0.746 0.000
Sm: 0.746 0.746 0.492
Sm: 0.000 0.746 0.254
Sm: 0.492 0.746 0.746
Sm: 0.254 0.000 0.746
Sm: 0.254 0.508 0.254
Sm: 0.746 0.000 0.254
Ca: 0.000 0.000 0.000

Results
Formation energy (eV per atom): 0.581
Total magnetization (μB/atom): 0.000
E (eV per atom): -4.014

# 7
Entry from the Alexandria database: an optimized crystal structure of KTeAu2 (PBE).

Lattice parameters (Å, degrees): 5.453 5.453 10.498 74.95 74.95 90.00
Fractional coordinates of all 8 atoms:
Au: 0.875 0.125 0.750
Au: 0.875 0.125 0.250
Au: 0.375 0.125 0.750
Au: 0.875 0.625 0.250
K: 0.500 0.500 0.000
K: 0.250 0.750 0.500
Te: 0.750 0.250 0.500
Te: 0.000 0.000 0.000

Results
Total magnetization (μB/atom): 0.000
E_form (uncorrected) (eV/atom): -0.3146
E (eV per atom): -3.013

# 8
Entry from the Alexandria database: an optimized crystal structure of Pr3ZnGa (PBE).

Lattice parameters (Å, degrees): 6.841 9.780 9.780 59.23 91.77 91.77
Fractional coordinates of all 20 atoms:
Pr: 0.525 0.056 0.236
Pr: 0.475 0.944 0.764
Pr: 0.999 0.388 0.296
Pr: 0.001 0.612 0.704
Pr: 0.994 0.187 0.689
Pr: 0.501 0.704 0.612
Pr: 0.006 0.813 0.311
Pr: 0.975 0.764 0.944
Pr: 0.499 0.296 0.388
Pr: 0.494 0.689 0.187
Pr: 0.025 0.236 0.056
Pr: 0.506 0.311 0.813
Zn: 0.684 0.479 0.010
Zn: 0.316 0.521 0.990
Zn: 0.184 0.010 0.479
Zn: 0.816 0.990 0.521
Ga: 0.250 0.001 0.999
Ga: 0.750 0.999 0.001
Ga: 0.250 0.501 0.499
Ga: 0.750 0.499 0.501

Results
Formation energy (eV per atom): -0.293
Total magnetization (μB/atom): 0.000
E above lowest polymorph (eV/atom): 0.032
E (eV per atom): -4.021

# 9
Entry from the Alexandria database: an optimized crystal structure of FeCoI2N (PBE).

Lattice parameters (Å, degrees): 5.382 5.382 3.480 90.00 90.00 90.00
Last column: magnetic moment on the atom in μB.
Fractional coordinates of all 5 atoms:
N: 0.000 0.000 0.500  0.03
Fe: 0.500 0.500 0.500  3.12
I: 0.500 0.000 0.000  0.07
I: 0.000 0.500 0.000  0.07
Co: 0.000 0.000 0.000  0.01

Results
Total magnetization (μB/atom): 0.692
E_form (uncorrected) (eV/atom): 0.7557
E above lowest polymorph (eV/atom): 0.002
E (eV per atom): -4.643

# 10
Entry from the Alexandria database: an optimized crystal structure of ScZnFe (PBE).

Lattice parameters (Å, degrees): 4.384 4.384 4.384 60.00 60.00 60.00
Last column: magnetic moment on the atom in μB.
Fractional coordinates of all 3 atoms:
Fe: 0.500 0.500 0.500  2.27
Zn: 0.000 0.000 0.000  -0.07
Sc: 0.750 0.750 0.750  -0.42

Results
Formation energy (eV per atom): 0.702
Total magnetization (μB/atom): 0.526
E (eV per atom): -4.654

# 11
Entry from the Alexandria database: an optimized crystal structure of Dy5Tm12Sc2 (PBE).

Lattice parameters (Å, degrees): 9.078 8.847 8.417 91.87 90.00 120.87
Fractional coordinates of all 19 atoms:
Tm: 0.178 0.741 0.324
Tm: 0.073 0.146 0.874
Tm: 0.444 0.888 0.666
Tm: 0.556 0.112 0.334
Tm: 0.034 0.707 0.764
Tm: 0.437 0.259 0.676
Tm: 0.927 0.854 0.126
Tm: 0.563 0.741 0.324
Tm: 0.822 0.259 0.676
Tm: 0.966 0.293 0.236
Tm: 0.328 0.293 0.236
Tm: 0.672 0.707 0.764
Sc: 0.331 0.000 0.000
Sc: 0.669 0.000 0.000
Dy: 0.769 0.537 0.431
Dy: 0.231 0.463 0.569
Dy: 0.705 0.410 0.021
Dy: 0.000 0.000 0.500
Dy: 0.295 0.590 0.979

Results
Formation energy (eV per atom): 0.121
Total magnetization (μB/atom): 0.000
E (eV per atom): -4.580

# 12
Entry from the Alexandria database: an optimized crystal structure of V6FeRe (PBE).

Lattice parameters (Å, degrees): 4.181 5.148 5.148 109.40 90.00 90.00
Fractional coordinates of all 8 atoms:
V: 0.500 0.373 0.124
V: 0.000 0.627 0.373
V: 0.000 0.629 0.877
V: 0.500 0.876 0.627
V: 0.500 0.874 0.126
V: 0.000 0.123 0.371
Re: 0.500 0.375 0.625
Fe: 0.000 0.124 0.876

Results
Formation energy (eV per atom): -0.194
Total magnetization (μB/atom): 0.000
E above lowest polymorph (eV/atom): 0.000
E (eV per atom): -9.646